Compound: Sr2InC
Source: the Alexandria database
Functional: PBE-GGA
Structure: relaxed

Unit cell a=5.358 b=5.358 c=5.358 alpha=60.00 beta=60.00 gamma=60.00
Atoms (fractional coordinates):
Sr: 0.250 0.250 0.250
Sr: 0.750 0.750 0.750
In: 0.500 0.500 0.500
C: 0.000 0.000 0.000

Size of the total moment   0.0 μB/f.u.
Formation energy   0.757 eV per atom
Electronic total energy   -12.30 eV per cell